Entry from OQMD via LeMat-Bulk: crystalline ZnBNO at its relaxed geometry (PBE-GGA).

Cell: 2.6893 5.3049 4.6581 Å, 90.00 90.00 90.00°
Sites, in units of the cell vectors:
Zn 0.0000 0.1501 0.0000
Zn 0.0000 0.8499 0.5000
B 0.5000 0.3510 0.4868
B 0.5000 0.6490 0.9868
N 0.0000 0.2154 0.4191
N 0.0000 0.7846 0.9191
O 0.5000 0.3980 0.8269
O 0.5000 0.6020 0.3269

ΔE to the lowest computed polymorph = 84 meV per atom
electronic total energy = -51.083 eV/cell
SG = Pmc2_1, No. 26

Entry from OQMD via LeMat-Bulk: crystalline HfTcPt2 at its relaxed geometry (PBE-GGA).

Cell: 4.5289 4.5289 4.5289 Å, 60.00 60.00 60.00°
Sites, in units of the cell vectors:
Hf 0.0000 0.0000 0.0000
Tc 0.7500 0.7500 0.7500
Pt 0.2500 0.2500 0.2500
Pt 0.5000 0.5000 0.5000

electronic total energy = -33.880 eV/cell
formation enthalpy at 0 K = -0.363 eV per atom
SG = F-43m, No. 216

Entry from OQMD via LeMat-Bulk: crystalline TmC at its relaxed geometry (PBE-GGA).

Cell: 3.4828 3.4828 2.9849 Å, 90.00 90.00 120.00°
Sites, in units of the cell vectors:
Tm 0.0000 0.0000 0.0000
C 0.3333 0.6667 0.5000

electronic total energy = -12.979 eV/cell
SG = P-6m2, No. 187

Entry from OQMD via LeMat-Bulk: crystalline RbPrPu at its relaxed geometry (PBE-GGA).

Cell: 5.9042 5.9042 5.9042 Å, 60.00 60.00 60.00°
Sites, in units of the cell vectors:
Rb 0.0000 0.0000 0.0000
Pr 0.5000 0.5000 0.5000
Pu 0.2500 0.2500 0.2500

ΔE to the lowest computed polymorph = 0 meV per atom
electronic total energy = -16.202 eV/cell
SG = F-43m, No. 216

Entry from OQMD via LeMat-Bulk: crystalline CsRbUS3 at its relaxed geometry (PBE-GGA).

Cell: 8.6973 8.6973 11.8522 Å, 90.00 90.00 151.86°
Sites, in units of the cell vectors:
Cs 0.1856 0.8144 0.7500
Cs 0.8144 0.1856 0.2500
Rb 0.1094 0.8906 0.2500
Rb 0.8906 0.1094 0.7500
U 0.5000 0.5000 0.0000
U 0.5000 0.5000 0.5000
S 0.1032 0.8968 0.5020
S 0.1032 0.8968 0.9980
S 0.4745 0.5255 0.2500
S 0.5255 0.4745 0.7500
S 0.8968 0.1032 0.0020
S 0.8968 0.1032 0.4980

electronic total energy = -64.417 eV/cell
SG = Cmcm, No. 63

Entry from OQMD via LeMat-Bulk: crystalline LuFeSbW at its relaxed geometry (PBE-GGA).

Cell: 4.6331 4.6331 4.6331 Å, 60.00 60.00 60.00°
Sites, in units of the cell vectors:
Lu 0.0000 0.0000 0.0000
Fe 0.7500 0.7500 0.7500
Sb 0.5000 0.5000 0.5000
W 0.2500 0.2500 0.2500

ΔE to the lowest computed polymorph = 0 meV per atom
electronic total energy = -28.287 eV/cell
SG = F-43m, No. 216

The highest electronic total energy belongs to which entry? TmC